# 1
Ba2InHg9, relaxed, DFT PBE; total energy = -0.9790 eV/atom; symmetry = R-3m (166); spin magnetization = 0.0 μB/f.u.; energy of formation = -0.20 eV/atom
1.0
-1.807 1.433 6.151
-4.675 -3.541 2.959
4.584 -6.771 6.432
Hg Ba In
9 2 1
Cartesian
-1.494 -2.571 5.349
0.536 -7.054 6.990
2.361 -7.417 9.437
2.030 -4.464 8.652
-3.928 -4.415 6.890
-0.949 -4.439 7.771
-4.259 -1.461 6.105
-2.435 -1.825 8.552
-0.405 -6.307 10.193
-3.767 -4.551 10.477
1.868 -4.328 5.065
0.000 0.000 0.000

---

# 2
BaInHg4, relaxed, DFT PBE; total energy = -1.2254 eV/atom; symmetry = F-43m (216); spin magnetization = 0.0 μB/f.u.; energy of formation = -0.25 eV/atom
1.0
-1.502 5.251 -3.138
0.128 0.052 -6.297
-5.384 0.292 -3.257
Hg In Ba
4 1 1
Cartesian
-4.283 3.468 -4.792
-3.472 0.881 -6.364
-4.220 3.493 -7.925
-1.541 3.348 -6.304
-1.690 1.399 -3.173
0.000 0.000 0.000

---

# 3
Ba8In2Hg, relaxed, DFT PBE; total energy = -2.1902 eV/atom; symmetry = C2/m (12); spin magnetization = 0.0 μB/f.u.; energy of formation = -0.27 eV/atom
1.0
6.078 0.000 0.000
0.000 8.357 0.111
-3.039 -3.458 10.150
Ba In Hg
8 2 1
Cartesian
0.000 -1.981 6.851
0.000 1.917 8.209
0.000 1.097 4.176
3.039 2.983 2.052
3.039 3.803 6.085
0.000 6.394 0.676
3.039 6.880 3.410
3.039 -1.494 9.585
0.000 4.613 3.826
3.039 0.286 6.435
3.039 0.000 0.000

---

# 4
BaIn5Hg4, relaxed, DFT PBE; total energy = -1.8187 eV/atom; symmetry = Pmmn (59); spin magnetization = 0.0 μB/f.u.; energy of formation = -0.14 eV/atom
1.0
-1.734 -1.445 -4.540
9.287 1.599 -4.056
2.845 -10.666 2.308
In Ba Hg
10 2 8
Cartesian
9.448 -6.987 -2.799
3.957 -8.584 -3.026
5.573 -2.650 -5.532
0.990 -5.693 0.022
3.342 -0.285 -5.435
7.016 -8.058 -4.362
1.817 -2.802 -1.217
8.045 -1.729 -3.937
3.220 -8.060 -0.079
2.515 -3.177 -4.196
5.635 -4.892 -2.002
-1.303 -1.086 -3.412
7.122 -5.209 -5.297
6.497 0.830 -4.172
4.727 -1.502 -2.744
2.416 -6.019 -3.242
1.916 0.041 -2.171
0.640 -8.356 -1.829
-0.395 -4.476 -2.669
6.537 -8.288 -1.276

---

# 5
Ba2In6Hg3, relaxed, DFT PBE; total energy = -2.2478 eV/atom; symmetry = P-62m (189); spin magnetization = 0.0 μB/f.u.; energy of formation = -0.32 eV/atom
1.0
-3.313 -0.615 -3.301
3.981 -7.722 -2.558
-6.381 -0.107 6.426
Ba In Hg
2 6 3
Cartesian
-2.927 -2.646 3.431
0.527 -5.184 0.437
-3.363 -5.874 1.100
-0.506 -2.539 -2.390
-0.462 -1.509 0.745
3.214 -6.234 -2.065
-3.501 -0.339 0.207
-5.152 -0.087 5.187
0.781 -5.036 -3.217
-5.564 -0.373 2.284
-2.587 -3.342 -0.151

---

# 6
BaInHg2, relaxed, DFT PBE; total energy = -1.6175 eV/atom; symmetry = F-43m (216); spin magnetization = 0.0 μB/f.u.; energy of formation = -0.30 eV/atom
1.0
5.561 0.000 0.000
2.780 4.816 0.000
2.780 1.605 4.540
Ba Hg In
1 2 1
Cartesian
5.561 3.211 2.270
2.780 1.605 1.135
0.000 0.000 0.000
8.341 4.816 3.405